Entry 1:
The following is a GGA-PBE calculation of a relaxed Sr2PaPN5 crystal, from the Alexandria database.

a = 3.502 Å, b = 7.257 Å, c = 11.794 Å
α = 90.00°, β = 90.00°, γ = 103.96°
Fractional positions:
Sr: 0.862 0.725 0.845
Sr: 0.090 0.180 0.657
Sr: 0.138 0.275 0.345
Sr: 0.910 0.820 0.157
Pa: 0.802 0.605 0.550
Pa: 0.198 0.395 0.050
P: 0.563 0.125 0.904
P: 0.437 0.875 0.404
N: 0.339 0.678 0.013
N: 0.677 0.354 0.912
N: 0.502 0.005 0.792
N: 0.295 0.591 0.664
N: 0.961 0.922 0.486
N: 0.661 0.322 0.513
N: 0.323 0.646 0.412
N: 0.498 0.995 0.292
N: 0.705 0.409 0.164
N: 0.039 0.078 0.986

Properties
The calculation puts the total energy at -134.2 eV/cell. As for the space group: Cmc2_1, No. 36. The calculation puts the magnetization at 0.00 μB/cell. For the uncorrected formation energy, the calculation gives -77 kJ/mol of atoms.



Entry 2:
The following is a GGA-PBE calculation of a relaxed Sr2PaP2N6 crystal, from the Alexandria database.

a = 5.649 Å, b = 5.672 Å, c = 6.846 Å
α = 114.95°, β = 90.00°, γ = 119.87°
Fractional positions:
Sr: 0.701 0.403 0.167
Sr: 0.299 0.597 0.833
Pa: 0.500 0.000 0.500
P: 0.941 0.883 0.714
P: 0.059 0.117 0.286
N: 0.759 0.518 0.635
N: 0.208 0.928 0.210
N: 0.280 0.072 0.790
N: 0.792 0.072 0.790
N: 0.720 0.928 0.210
N: 0.241 0.482 0.365

Properties
The calculation puts the total energy at -84.2 eV/cell. As for the space group: C2/m, No. 12. The calculation puts the magnetization at 0.00 μB/cell. For the uncorrected formation energy, the calculation gives -93 kJ/mol of atoms.



Looking at D(E_F) for the records above, in order, we have 0.553; 0.381 states/eV/atom.
Looking at calculated volume for the records above, in order, we have 16.16; 15.11 Å³ per atom.